{"formula": "Tm3Mg", "functional": "GGA-PBE", "state": "relaxed", "lattice": [[4.847, 0.000, 0.000], [0.000, 4.847, 0.000], [0.000, 0.000, 4.847]], "species": ["Tm", "Tm", "Tm", "Mg"], "fractional_positions": [[0.000, 0.000, 0.500], [0.000, 0.500, 0.000], [0.500, 0.000, 0.000], [0.500, 0.500, 0.500]], "delta_e_f_ev_per_atom": 0.038, "dos_ef_per_ev_cell": 8.3, "spacegroup": "Pm-3m (221)"}



{"formula": "Tm3Mg", "functional": "GGA-PBE", "state": "relaxed", "lattice": [[0.000, 3.837, 3.837], [3.837, 0.000, 3.837], [3.837, 3.837, 0.000]], "species": ["Tm", "Tm", "Tm", "Mg"], "fractional_positions": [[0.000, 0.000, 0.000], [0.250, 0.250, 0.250], [0.750, 0.750, 0.750], [0.500, 0.500, 0.500]], "delta_e_f_ev_per_atom": 0.057, "dos_ef_per_ev_cell": 4.4, "spacegroup": "Fm-3m (225)"}



{"formula": "Tm2Mg", "functional": "GGA-PBE", "state": "relaxed", "lattice": [[0.000, 4.474, 4.474], [4.474, 0.000, 4.474], [4.474, 4.474, 0.000]], "species": ["Tm", "Tm", "Tm", "Tm", "Mg", "Mg"], "fractional_positions": [[0.000, 0.000, 0.000], [0.000, 0.000, 0.500], [0.000, 0.500, 0.000], [0.500, 0.000, 0.000], [0.375, 0.375, 0.375], [0.625, 0.625, 0.625]], "delta_e_f_ev_per_atom": 0.283, "dos_ef_per_ev_cell": 8.1, "spacegroup": "Fd-3m (227)"}



{"formula": "TmMg6", "functional": "GGA-PBE", "state": "relaxed", "lattice": [[9.410, 0.000, 0.000], [0.000, 5.959, 0.000], [0.000, 0.000, 12.120]], "species": ["Tm", "Tm", "Tm", "Tm", "Mg", "Mg", "Mg", "Mg", "Mg", "Mg", "Mg", "Mg", "Mg", "Mg", "Mg", "Mg", "Mg", "Mg", "Mg", "Mg", "Mg", "Mg", "Mg", "Mg", "Mg", "Mg", "Mg", "Mg"], "fractional_positions": [[0.247, 0.250, 0.069], [0.253, 0.750, 0.569], [0.747, 0.250, 0.431], [0.753, 0.750, 0.931], [0.055, 0.750, 0.084], [0.062, 0.011, 0.308], [0.062, 0.489, 0.308], [0.098, 0.250, 0.520], [0.142, 0.750, 0.851], [0.192, 0.250, 0.754], [0.308, 0.750, 0.254], [0.358, 0.250, 0.351], [0.402, 0.750, 0.020], [0.438, 0.511, 0.808], [0.438, 0.989, 0.808], [0.445, 0.250, 0.584], [0.555, 0.750, 0.416], [0.562, 0.011, 0.192], [0.562, 0.489, 0.192], [0.598, 0.250, 0.980], [0.642, 0.750, 0.649], [0.692, 0.250, 0.746], [0.808, 0.750, 0.246], [0.858, 0.250, 0.149], [0.902, 0.750, 0.480], [0.938, 0.511, 0.692], [0.938, 0.989, 0.692], [0.945, 0.250, 0.916]], "delta_e_f_ev_per_atom": 0.031, "dos_ef_per_ev_cell": 15.2, "spacegroup": "Pnma (62)"}



{"formula": "TmMgU", "functional": "GGA-PBE", "state": "relaxed", "lattice": [[8.158, -1.796, 0.000], [8.158, 1.796, 0.000], [-0.252, 0.000, 5.229]], "species": ["Tm", "Tm", "Mg", "Mg", "U", "U"], "fractional_positions": [[0.092, 0.092, 0.293], [0.908, 0.908, 0.707], [0.424, 0.424, 0.207], [0.576, 0.576, 0.793], [0.242, 0.242, 0.829], [0.758, 0.758, 0.171]], "delta_e_f_ev_per_atom": 0.178, "dos_ef_per_ev_cell": 11.2, "spacegroup": "C2/m (12)"}



{"formula": "Y2Tm5Mg", "functional": "GGA-PBE", "state": "relaxed", "lattice": [[6.048, -3.473, 0.000], [6.048, 3.473, 0.000], [-3.983, 0.000, 5.687]], "species": ["Y", "Y", "Tm", "Tm", "Tm", "Tm", "Tm", "Mg"], "fractional_positions": [[0.000, 0.000, 0.000], [0.500, 0.500, 0.496], [0.000, 0.000, 0.498], [0.001, 0.501, 0.500], [0.499, 0.999, 0.997], [0.501, 0.001, 0.500], [0.999, 0.499, 0.997], [0.500, 0.500, 0.998]], "delta_e_f_ev_per_atom": 0.031, "dos_ef_per_ev_cell": 10.3, "spacegroup": "Cm (8)"}



{"formula": "YTm2Mg", "functional": "GGA-PBE", "state": "relaxed", "lattice": [[0.000, 3.548, 9.242], [3.542, 0.000, 9.242], [3.542, 3.548, 0.000]], "species": ["Y", "Y", "Tm", "Tm", "Tm", "Tm", "Mg", "Mg"], "fractional_positions": [[0.131, 0.131, 0.869], [0.869, 0.869, 0.131], [0.000, 0.000, 0.500], [0.369, 0.369, 0.631], [0.500, 0.500, 0.000], [0.631, 0.631, 0.369], [0.250, 0.250, 0.250], [0.750, 0.750, 0.750]], "delta_e_f_ev_per_atom": -0.028, "dos_ef_per_ev_cell": 9.0, "spacegroup": "Fmmm (69)"}



{"formula": "Y2TmMg9", "functional": "GGA-PBE", "state": "relaxed", "lattice": [[3.020, 1.743, 9.643], [-3.020, 1.743, 9.643], [0.000, -3.487, 9.643]], "species": ["Y", "Y", "Tm", "Mg", "Mg", "Mg", "Mg", "Mg", "Mg", "Mg", "Mg", "Mg"], "fractional_positions": [[0.142, 0.142, 0.142], [0.858, 0.858, 0.858], [0.000, 0.000, 0.000], [0.079, 0.587, 0.587], [0.334, 0.334, 0.334], [0.413, 0.413, 0.921], [0.413, 0.921, 0.413], [0.500, 0.500, 0.500], [0.587, 0.079, 0.587], [0.587, 0.587, 0.079], [0.666, 0.666, 0.666], [0.921, 0.413, 0.413]], "delta_e_f_ev_per_atom": -0.029, "dos_ef_per_ev_cell": 11.0, "spacegroup": "R-3m (166)"}



{"formula": "Y2Tm2Mg3", "functional": "GGA-PBE", "state": "relaxed", "lattice": [[3.499, 0.000, 0.000], [1.741, 6.911, 0.000], [1.734, 2.952, 8.227]], "species": ["Y", "Y", "Tm", "Tm", "Mg", "Mg", "Mg"], "fractional_positions": [[0.105, 0.238, 0.047], [0.895, 0.762, 0.953], [0.368, 0.444, 0.318], [0.632, 0.556, 0.682], [0.000, 0.000, 0.500], [0.323, 0.150, 0.710], [0.677, 0.850, 0.290]], "delta_e_f_ev_per_atom": 0.036, "dos_ef_per_ev_cell": 10.2, "spacegroup": "P-1 (2)"}



{"formula": "Y4Tm5Mg", "functional": "GGA-PBE", "state": "relaxed", "lattice": [[-5.279, 5.279, 2.832], [5.279, -5.279, 2.832], [5.279, 5.279, -2.832]], "species": ["Y", "Y", "Y", "Y", "Tm", "Tm", "Tm", "Tm", "Tm", "Mg"], "fractional_positions": [[0.000, 0.319, 0.319], [0.000, 0.681, 0.681], [0.319, 0.000, 0.319], [0.681, 0.000, 0.681], [0.216, 0.216, 0.000], [0.308, 0.308, 0.629], [0.308, 0.679, 0.000], [0.679, 0.308, 0.000], [0.679, 0.679, 0.371], [0.735, 0.735, 0.000]], "delta_e_f_ev_per_atom": 0.198, "dos_ef_per_ev_cell": 12.1, "spacegroup": "I4mm (107)"}



{"formula": "Y2TmMg", "functional": "GGA-PBE", "state": "relaxed", "lattice": [[0.000, 3.885, 3.885], [3.885, 0.000, 3.885], [3.885, 3.885, 0.000]], "species": ["Y", "Y", "Tm", "Mg"], "fractional_positions": [[0.250, 0.250, 0.250], [0.750, 0.750, 0.750], [0.000, 0.000, 0.000], [0.500, 0.500, 0.500]], "delta_e_f_ev_per_atom": 0.034, "dos_ef_per_ev_cell": 4.9, "spacegroup": "Fm-3m (225)"}



{"formula": "Y4TmMg3", "functional": "GGA-PBE", "state": "relaxed", "lattice": [[3.843, 0.000, 0.000], [0.000, 5.422, 0.000], [0.000, 0.000, 10.964]], "species": ["Y", "Y", "Y", "Y", "Tm", "Mg", "Mg", "Mg"], "fractional_positions": [[0.000, 0.000, 0.000], [0.000, 0.000, 0.500], [0.000, 0.500, 0.240], [0.000, 0.500, 0.760], [0.500, 0.500, 0.500], [0.500, 0.000, 0.250], [0.500, 0.000, 0.750], [0.500, 0.500, 0.000]], "delta_e_f_ev_per_atom": -0.031, "dos_ef_per_ev_cell": 11.9, "spacegroup": "Pmmm (47)"}



{"formula": "Y4Tm5Mg", "functional": "GGA-PBE", "state": "relaxed", "lattice": [[3.535, 0.000, 0.000], [0.000, 3.535, 0.000], [0.000, 0.000, 24.290]], "species": ["Y", "Y", "Y", "Y", "Tm", "Tm", "Tm", "Tm", "Tm", "Mg"], "fractional_positions": [[0.000, 0.000, 0.103], [0.000, 0.000, 0.309], [0.000, 0.000, 0.691], [0.000, 0.000, 0.897], [0.500, 0.500, 0.000], [0.500, 0.500, 0.206], [0.500, 0.500, 0.410], [0.500, 0.500, 0.590], [0.500, 0.500, 0.794], [0.000, 0.000, 0.500]], "delta_e_f_ev_per_atom": 0.010, "dos_ef_per_ev_cell": 14.1, "spacegroup": "P4/mmm (123)"}



{"formula": "YTm2Mg6", "functional": "GGA-PBE", "state": "relaxed", "lattice": [[9.027, 0.000, 0.000], [-4.514, 7.818, 0.000], [0.000, 0.000, 3.276]], "species": ["Y", "Tm", "Tm", "Mg", "Mg", "Mg", "Mg", "Mg", "Mg"], "fractional_positions": [[0.000, 0.000, 0.000], [0.333, 0.667, 0.000], [0.667, 0.333, 0.000], [0.000, 0.335, 0.500], [0.000, 0.665, 0.500], [0.335, 0.000, 0.500], [0.335, 0.335, 0.500], [0.665, 0.000, 0.500], [0.665, 0.665, 0.500]], "delta_e_f_ev_per_atom": -0.061, "dos_ef_per_ev_cell": 5.9, "spacegroup": "P6/mmm (191)"}



{"formula": "Y2Tm2Mg", "functional": "GGA-PBE", "state": "relaxed", "lattice": [[-1.776, 1.776, 11.757], [1.776, -1.776, 11.757], [1.776, 1.776, -11.757]], "species": ["Y", "Y", "Tm", "Tm", "Mg"], "fractional_positions": [[0.094, 0.094, 0.000], [0.906, 0.906, 0.000], [0.301, 0.301, 0.000], [0.699, 0.699, 0.000], [0.500, 0.500, 0.000]], "delta_e_f_ev_per_atom": -0.017, "dos_ef_per_ev_cell": 8.5, "spacegroup": "I4/mmm (139)"}



{"formula": "Y14TmMg", "functional": "GGA-PBE", "state": "relaxed", "lattice": [[10.967, 0.000, 0.000], [0.000, 4.236, 5.489], [0.000, -4.236, 5.489]], "species": ["Y", "Y", "Y", "Y", "Y", "Y", "Y", "Y", "Y", "Y", "Y", "Y", "Y", "Y", "Tm", "Mg"], "fractional_positions": [[0.000, 0.000, 0.000], [0.000, 0.445, 0.445], [0.000, 0.526, 0.928], [0.000, 0.928, 0.526], [0.229, 0.227, 0.227], [0.255, 0.296, 0.718], [0.255, 0.718, 0.296], [0.276, 0.790, 0.790], [0.500, 0.079, 0.496], [0.500, 0.496, 0.079], [0.724, 0.790, 0.790], [0.745, 0.296, 0.718], [0.745, 0.718, 0.296], [0.771, 0.227, 0.227], [0.500, 0.018, 0.018], [0.500, 0.565, 0.565]], "delta_e_f_ev_per_atom": 0.036, "dos_ef_per_ev_cell": 27.1, "spacegroup": "Amm2 (38)"}



{"formula": "YTm6Mg", "functional": "GGA-PBE", "state": "relaxed", "lattice": [[6.270, 0.000, 0.000], [-0.637, 6.238, 0.000], [-0.634, -0.694, 6.202]], "species": ["Y", "Tm", "Tm", "Tm", "Tm", "Tm", "Tm", "Mg"], "fractional_positions": [[0.000, 0.000, 0.000], [0.004, 0.546, 0.256], [0.256, 0.003, 0.546], [0.454, 0.744, 0.997], [0.546, 0.256, 0.003], [0.744, 0.997, 0.454], [0.996, 0.454, 0.744], [0.500, 0.500, 0.500]], "delta_e_f_ev_per_atom": 0.148, "dos_ef_per_ev_cell": 14.5, "spacegroup": "P-1 (2)"}



{"formula": "YTmMg14", "functional": "GGA-PBE", "state": "relaxed", "lattice": [[6.921, 0.000, 0.000], [0.000, 6.921, 0.000], [0.000, 0.000, 7.963]], "species": ["Y", "Tm", "Mg", "Mg", "Mg", "Mg", "Mg", "Mg", "Mg", "Mg", "Mg", "Mg", "Mg", "Mg", "Mg", "Mg"], "fractional_positions": [[0.000, 0.000, 0.000], [0.500, 0.500, 0.000], [0.000, 0.000, 0.500], [0.000, 0.500, 0.000], [0.000, 0.500, 0.500], [0.251, 0.251, 0.261], [0.251, 0.251, 0.739], [0.251, 0.749, 0.261], [0.251, 0.749, 0.739], [0.500, 0.000, 0.000], [0.500, 0.000, 0.500], [0.500, 0.500, 0.500], [0.749, 0.251, 0.261], [0.749, 0.251, 0.739], [0.749, 0.749, 0.261], [0.749, 0.749, 0.739]], "delta_e_f_ev_per_atom": -0.026, "dos_ef_per_ev_cell": 6.9, "spacegroup": "P4/mmm (123)"}



{"formula": "Y5Tm4Mg", "functional": "GGA-PBE", "state": "relaxed", "lattice": [[3.544, 0.000, 0.000], [0.000, 3.544, 0.000], [0.000, 0.000, 24.313]], "species": ["Y", "Y", "Y", "Y", "Y", "Tm", "Tm", "Tm", "Tm", "Mg"], "fractional_positions": [[0.000, 0.000, 0.000], [0.000, 0.000, 0.205], [0.000, 0.000, 0.408], [0.000, 0.000, 0.592], [0.000, 0.000, 0.795], [0.500, 0.500, 0.102], [0.500, 0.500, 0.307], [0.500, 0.500, 0.693], [0.500, 0.500, 0.898], [0.500, 0.500, 0.500]], "delta_e_f_ev_per_atom": 0.006, "dos_ef_per_ev_cell": 14.2, "spacegroup": "P4/mmm (123)"}



{"formula": "YTm2Mg8", "functional": "GGA-PBE", "state": "relaxed", "lattice": [[7.957, -2.497, 0.000], [7.957, 2.497, 0.000], [-2.314, 0.000, 6.938]], "species": ["Y", "Tm", "Tm", "Mg", "Mg", "Mg", "Mg", "Mg", "Mg", "Mg", "Mg"], "fractional_positions": [[0.000, 0.000, 0.000], [0.276, 0.276, 0.362], [0.724, 0.724, 0.638], [0.090, 0.090, 0.466], [0.179, 0.179, 0.897], [0.359, 0.359, 0.841], [0.470, 0.470, 0.280], [0.530, 0.530, 0.720], [0.641, 0.641, 0.159], [0.821, 0.821, 0.103], [0.910, 0.910, 0.534]], "delta_e_f_ev_per_atom": -0.030, "dos_ef_per_ev_cell": 6.0, "spacegroup": "C2/m (12)"}



{"formula": "Y2TmMg8", "functional": "GGA-PBE", "state": "relaxed", "lattice": [[-2.625, 3.862, 7.100], [2.625, -3.862, 7.100], [2.625, 3.862, -7.100]], "species": ["Y", "Y", "Tm", "Mg", "Mg", "Mg", "Mg", "Mg", "Mg", "Mg", "Mg"], "fractional_positions": [[0.213, 0.213, 0.000], [0.787, 0.787, 0.000], [0.500, 0.500, 0.000], [0.059, 0.367, 0.692], [0.205, 0.000, 0.205], [0.325, 0.633, 0.692], [0.349, 0.849, 0.500], [0.651, 0.151, 0.500], [0.675, 0.367, 0.308], [0.795, 0.000, 0.795], [0.941, 0.633, 0.308]], "delta_e_f_ev_per_atom": 0.049, "dos_ef_per_ev_cell": 8.5, "spacegroup": "Immm (71)"}



{"formula": "Y2TmMg", "functional": "GGA-PBE", "state": "relaxed", "lattice": [[3.591, 0.000, 0.000], [0.000, 3.591, 0.000], [0.000, 0.000, 9.183]], "species": ["Y", "Y", "Tm", "Mg"], "fractional_positions": [[0.000, 0.000, 0.237], [0.000, 0.000, 0.763], [0.500, 0.500, 0.500], [0.500, 0.500, 0.000]], "delta_e_f_ev_per_atom": -0.030, "dos_ef_per_ev_cell": 5.8, "spacegroup": "P4/mmm (123)"}



{"formula": "Y4TmMg2", "functional": "GGA-PBE", "state": "relaxed", "lattice": [[2.778, 1.604, 8.717], [-2.778, 1.604, 8.717], [0.000, -3.208, 8.717]], "species": ["Y", "Y", "Y", "Y", "Tm", "Mg", "Mg"], "fractional_positions": [[0.129, 0.129, 0.129], [0.257, 0.257, 0.257], [0.743, 0.743, 0.743], [0.871, 0.871, 0.871], [0.500, 0.500, 0.500], [0.379, 0.379, 0.379], [0.621, 0.621, 0.621]], "delta_e_f_ev_per_atom": 0.281, "dos_ef_per_ev_cell": 12.5, "spacegroup": "R-3m (166)"}